Cd4Pt15Pb | PBE | optimized geometry

Computed properties:
The crystal system is tetragonal. The space group is P4/mmm. As for the total magnetization: 0.0 μB per cell. For the formation energy from the elements, the calculation gives -168 meV/atom. As for the density of states at the Fermi level: 21.90 states/eV/f.u. The total energy is -101.339 eV per cell.

The structure in POSCAR format:
```
Cd4Pt15Pb
1.0
-2.4618 -1.6648 2.7489
1.1606 -3.6896 -1.1952
15.1053 0.3087 13.7144
Pt Cd Pb
15 4 1
Direct
0.5000 0.5000 0.0000
0.0000 0.5000 0.8954
0.0000 0.5000 0.5000
0.5000 0.5000 0.2032
0.0000 0.5000 0.6977
0.5000 0.5000 0.7968
0.0000 0.5000 0.3023
0.0000 0.5000 0.1046
0.5000 0.0000 0.1046
0.5000 0.0000 0.8954
0.5000 0.0000 0.5000
0.5000 0.0000 0.6977
0.5000 0.5000 0.5989
0.5000 0.5000 0.4011
0.5000 0.0000 0.3023
0.0000 0.0000 0.7963
0.0000 0.0000 0.2037
0.0000 0.0000 0.4010
0.0000 0.0000 0.5990
0.0000 0.0000 0.0000
```



PuCdPtPb | PBE | optimized geometry

Computed properties:
The crystal system is cubic. The space group is F-43m. As for the total magnetization: 5.5 μB per cell. For the formation energy from the elements, the calculation gives -220 meV/atom. As for the density of states at the Fermi level: 12.71 states/eV/f.u. The total energy is -25.876 eV per cell.

The structure in POSCAR format:
```
PuCdPtPb
1.0
5.0761 0.0000 0.0000
2.5381 4.3961 0.0000
2.5381 1.4654 4.1447
Pt Cd Pb Pu
1 1 1 1
Direct
0.2500 0.2500 0.2500
0.7500 0.7500 0.7500
0.5000 0.5000 0.5000
0.0000 0.0000 0.0000
```



CdPtRhPb | PBE | optimized geometry

Computed properties:
The crystal system is cubic. The space group is F-43m. As for the total magnetization: 0.0 μB per cell. For the formation energy from the elements, the calculation gives -52 meV/atom. As for the density of states at the Fermi level: 4.99 states/eV/f.u. The total energy is -18.225 eV per cell.

The structure in POSCAR format:
```
CdPtRhPb
1.0
-2.1698 -4.0205 1.1652
-1.1989 -3.0896 -3.3538
2.2932 -4.1045 -0.3528
Pt Pb Cd Rh
1 1 1 1
Direct
0.7500 0.7500 0.7500
0.0000 0.0000 0.0000
0.5000 0.5000 0.5000
0.2500 0.2500 0.2500
```



CdSi3Pt12Pb2 | PBE | optimized geometry

Computed properties:
The formation energy from raw total energies is -4.1 eV/f.u. The crystal system is trigonal. The space group is R-3m. As for the total magnetization: 0.0 μB per cell. As for the density of states at the Fermi level: 9.82 states/eV/f.u. The total energy is -101.147 eV per cell.

The structure in POSCAR format:
```
CdSi3Pt12Pb2
1.0
-1.0932 -0.8394 7.3524
-5.9151 -4.3257 1.5025
2.0046 -6.7962 2.3981
Pb Pt Si Cd
2 12 3 1
Direct
0.6014 0.6014 0.6014
0.3986 0.3986 0.3986
0.6072 0.1487 0.1487
0.3588 0.3588 0.8935
0.6412 0.6412 0.1065
0.3588 0.8935 0.3588
0.8513 0.3928 0.8513
0.6412 0.1065 0.6412
0.3928 0.8513 0.8513
0.8935 0.3588 0.3588
0.8513 0.8513 0.3928
0.1487 0.1487 0.6072
0.1487 0.6072 0.1487
0.1065 0.6412 0.6412
0.0000 0.0000 0.5000
0.5000 0.0000 0.0000
0.0000 0.5000 0.0000
0.0000 0.0000 0.0000
```



Ta2CdPtPb | PBE | optimized geometry

Computed properties:
The crystal system is tetragonal. The space group is P4/mmm. As for the total magnetization: 0.0 μB per cell. For the formation energy from the elements, the calculation gives 1711 meV/atom. As for the density of states at the Fermi level: 7.86 states/eV/f.u. The total energy is -25.814 eV per cell.

The structure in POSCAR format:
```
Ta2CdPtPb
1.0
-1.9740 -4.4574 -1.2861
3.7388 -2.2896 2.1970
-2.5974 -0.0962 4.3201
Pb Pt Cd Ta
1 1 1 2
Direct
0.5000 0.5000 0.5000
0.0000 0.5000 0.0000
0.0000 0.0000 0.0000
0.5000 0.0000 0.0000
0.0000 0.0000 0.5000
```



Tl2CdPtPb | PBE | optimized geometry

Computed properties:
The crystal system is tetragonal. The space group is P4/mmm. As for the total magnetization: 0.0 μB per cell. For the formation energy from the elements, the calculation gives 83 meV/atom. As for the density of states at the Fermi level: 4.20 states/eV/f.u. The total energy is -14.983 eV per cell.

The structure in POSCAR format:
```
Tl2CdPtPb
1.0
-1.4161 2.6917 -4.3427
-0.5772 -4.5618 -2.6393
-5.0739 -0.2321 1.5107
Pt Pb Tl Cd
1 1 2 1
Direct
0.0000 0.0000 0.0000
0.5000 0.5000 0.5000
0.5000 0.0000 0.0000
0.0000 0.5000 0.0000
0.0000 0.0000 0.5000
```



TlCd2PtPb | PBE | optimized geometry

Computed properties:
The crystal system is tetragonal. The space group is P4/mmm. As for the total magnetization: 0.0 μB per cell. For the formation energy from the elements, the calculation gives -38 meV/atom. As for the density of states at the Fermi level: 1.90 states/eV/f.u. The total energy is -14.135 eV per cell.

The structure in POSCAR format:
```
TlCd2PtPb
1.0
-4.6685 0.0224 2.4759
-2.4717 -0.3538 -4.6574
0.1479 -5.3381 0.3270
Tl Cd Pb Pt
1 2 1 1
Direct
0.5000 0.5000 0.5000
0.0000 0.5000 0.0000
0.5000 0.0000 0.0000
0.0000 0.0000 0.5000
0.0000 0.0000 0.0000
```



PuCd2Pb | PBE | optimized geometry

Computed properties:
The crystal system is tetragonal. The space group is P4/mmm. As for the total magnetization: 5.8 μB per cell. For the formation energy from the elements, the calculation gives -84 meV/atom. As for the density of states at the Fermi level: 13.22 states/eV/f.u. The total energy is -20.205 eV per cell.

The structure in POSCAR format:
```
PuCd2Pb
1.0
-2.1034 2.8869 3.4422
1.3687 -2.9057 3.2733
3.9213 2.3377 0.4355
Pu Cd Pb
1 2 1
Direct
0.5000 0.5000 0.5000
0.0000 0.0000 0.5000
0.0000 0.5000 0.0000
0.5000 0.0000 0.0000
```



PuCdPb | PBE | optimized geometry

Computed properties:
The crystal system is orthorhombic. The space group is Pnma. As for the total magnetization: 0.0 μB per cell. For the formation energy from the elements, the calculation gives 169 meV/atom. As for the density of states at the Fermi level: 2.96 states/eV/f.u. The total energy is -73.788 eV per cell.

The structure in POSCAR format:
```
PuCdPb
1.0
3.3004 0.0000 0.0000
0.0000 3.3492 0.0000
0.0000 0.0000 26.5979
Pu Pb Cd
4 4 4
Direct
0.2610 0.7500 0.2355
0.2390 0.7500 0.7355
0.7610 0.2500 0.2645
0.7390 0.2500 0.7645
0.2629 0.7500 0.3575
0.2371 0.7500 0.8575
0.7629 0.2500 0.1425
0.7371 0.2500 0.6425
0.7503 0.7500 0.5382
0.2497 0.2500 0.4618
0.7497 0.7500 0.0382
0.2503 0.2500 0.9618
```



Pu2CdPb | PBE | optimized geometry

Computed properties:
The crystal system is tetragonal. The space group is P4/mmm. As for the total magnetization: 11.8 μB per cell. For the formation energy from the elements, the calculation gives -96 meV/atom. As for the density of states at the Fermi level: 13.02 states/eV/f.u. The total energy is -33.670 eV per cell.

The structure in POSCAR format:
```
Pu2CdPb
1.0
4.9102 0.0000 0.0000
0.0000 4.6237 0.0000
0.0000 0.0000 4.6237
Pu Cd Pb
2 1 1
Direct
0.0000 0.0000 0.5000
0.0000 0.5000 0.0000
0.5000 0.0000 0.0000
0.5000 0.5000 0.5000
```



PuCd2Pb | PBE | optimized geometry

Computed properties:
The crystal system is cubic. The space group is Fm-3m. As for the total magnetization: 6.1 μB per cell. For the formation energy from the elements, the calculation gives 29 meV/atom. As for the density of states at the Fermi level: 14.03 states/eV/f.u. The total energy is -19.755 eV per cell.

The structure in POSCAR format:
```
PuCd2Pb
1.0
-2.8147 2.6208 -3.6833
-4.8751 1.8026 1.1585
-0.8502 5.2309 0.5221
Cd Pb Pu
2 1 1
Direct
0.7500 0.7500 0.7500
0.2500 0.2500 0.2500
0.5000 0.5000 0.5000
0.0000 0.0000 0.0000
```



PuCd6Pb | PBE | optimized geometry

Computed properties:
The crystal system is orthorhombic. The space group is Amm2. As for the total magnetization: 6.1 μB per cell. For the formation energy from the elements, the calculation gives 1 meV/atom. As for the density of states at the Fermi level: 15.95 states/eV/f.u. The total energy is -23.520 eV per cell.

The structure in POSCAR format:
```
PuCd6Pb
1.0
-1.4799 2.2190 -4.1253
2.3917 -4.9459 -3.5183
-6.1874 -1.5204 1.4018
Pu Cd Pb
1 6 1
Direct
0.5000 0.3620 0.6380
0.0000 0.5622 0.4378
0.0000 0.0638 0.3507
0.5000 0.4522 0.1547
0.0000 0.6493 0.9362
0.5000 0.8453 0.5478
0.5000 0.9264 0.0736
0.0000 0.1385 0.8615
```



Pu2Cd3Pb3 | PBE | optimized geometry

Computed properties:
The crystal system is orthorhombic. The space group is Pmmm. As for the total magnetization: 11.4 μB per cell. For the formation energy from the elements, the calculation gives -118 meV/atom. As for the density of states at the Fermi level: 24.72 states/eV/f.u. The total energy is -43.477 eV per cell.

The structure in POSCAR format:
```
Pu2Cd3Pb3
1.0
4.7191 0.0000 0.0000
0.0000 4.9262 0.0000
0.0000 0.0000 9.1327
Pb Pu Cd
3 2 3
Direct
0.5000 0.0000 0.0000
0.0000 0.5000 0.5000
0.5000 0.0000 0.5000
0.0000 0.0000 0.7481
0.0000 0.0000 0.2519
0.5000 0.5000 0.7600
0.0000 0.5000 0.0000
0.5000 0.5000 0.2400
```



no.,density (g cm⁻³)
1,17.79
2,13.62
3,13.84
4,14.21
5,11.68
6,10.29
7,9.24
8,10.76
9,12.73
10,12.78
11,10.51
12,9.33
13,11.32